No. 1
A relaxed LaZrCu10 crystal, computed with PBE.

a b c (Å): 4.1043 5.0391 8.7148
angles (deg): 90.00 90.00 90.00
Closest atoms and distances in Å follow each position.
Fractional positions:
Cu: 0.5000 0.7568 0.7616  8 Cu 2.45-2.59
Cu: 0.5000 0.5000 0.0000  8 Cu 2.45-2.47
Cu: 0.5000 0.7568 0.2384  8 Cu 2.45-2.59
Cu: 0.5000 0.0000 0.5000  8 Cu 2.58-2.59
Cu: 0.0000 0.0000 0.3204  6 Cu 2.49-2.58, 1 Zr 2.79
Cu: 0.0000 0.5000 0.1567  7 Cu 2.47-2.73
Cu: 0.0000 0.5000 0.8433  7 Cu 2.47-2.73
Cu: 0.5000 0.2432 0.7616  8 Cu 2.45-2.59
Cu: 0.5000 0.2432 0.2384  8 Cu 2.45-2.59
La: 0.0000 0.5000 0.5000  10 Cu 2.97-3.25
Zr: 0.0000 0.0000 0.0000  6 Cu 2.79-2.87
Cu: 0.0000 0.0000 0.6796  6 Cu 2.49-2.58, 1 Zr 2.79

E: -4.6346 eV/atom
Space-group type: Pmmm, No. 47
DOS(E_F): 9.4 states/eV/cell
Calculated volume: 15.0 Å³/atom

=====

No. 2
A relaxed LaZrCu2 crystal, computed with PBE.

a b c (Å): 6.0606 6.0606 6.0606
angles (deg): 41.81 41.81 41.81
Closest atoms and distances in Å follow each position.
Fractional positions:
Zr: 0.7039 0.7039 0.7039  6 Cu 2.71-2.73
Cu: 0.9709 0.9709 0.9709  3 Cu 2.50, 3 Zr 2.73
Cu: 0.3070 0.3070 0.3070  3 Cu 2.50, 3 Zr 2.71
La: 0.5181 0.5181 0.5181  1 Zr 3.08, 6 Cu 3.19-3.21

E: -5.4361 eV/atom
Space-group type: R3m, No. 160
DOS(E_F): 3.2 states/eV/cell
Calculated volume: 22.4 Å³/atom
Polymorph energy (0 for the lowest one): 0.075 eV/atom

=====

No. 3
A relaxed La2ZrCu crystal, computed with PBE.

a b c (Å): 3.4802 3.4802 8.8083
angles (deg): 90.00 90.00 90.00
Closest atoms and distances in Å follow each position.
Fractional positions:
La: 0.5000 0.5000 0.0026  4 Zr 3.42, 4 La 3.48, 1 Cu 3.71
Zr: 0.0000 0.0000 0.2726  4 Cu 2.80
Cu: 0.5000 0.5000 0.4235  4 Zr 2.80
La: 0.0000 0.0000 0.6590  4 Cu 3.22, 1 Zr 3.40, 4 La 3.48

E: -5.6144 eV/atom
Space-group type: P4mm, No. 99
DOS(E_F): 6.0 states/eV/cell
Calculated volume: 26.7 Å³/atom
Polymorph energy (0 for the lowest one): 0.022 eV/atom

=====

No. 4
A relaxed La4ZrCu crystal, computed with PBE.

a b c (Å): 6.4082 6.4082 6.4082
angles (deg): 60.00 60.00 60.00
Closest atoms and distances in Å follow each position.
Fractional positions:
La: 0.3757 0.3757 0.3757  6 La 3.19-3.22
Cu: 0.0000 0.0000 0.0000  12 La 3.76, 4 Zr 3.92
La: 0.3757 0.8730 0.3757  6 La 3.19-3.22
La: 0.8730 0.3757 0.3757  6 La 3.19-3.22
La: 0.3757 0.3757 0.8730  6 La 3.19-3.22
Zr: 0.7500 0.7500 0.7500  12 La 3.76, 4 Cu 3.92

E: -4.7326 eV/atom
Space-group type: F-43m, No. 216
DOS(E_F): 9.1 states/eV/cell
Calculated volume: 31.0 Å³/atom

=====

No. 5
A relaxed La2ZrCu crystal, computed with PBE.

a b c (Å): 5.6634 5.6634 5.6634
angles (deg): 129.95 129.95 73.48
Closest atoms and distances in Å follow each position.
Fractional positions:
Cu: 0.7500 0.2500 0.5000  8 La 3.30, 4 Zr 3.39
Zr: 0.2500 0.7500 0.5000  8 La 3.30, 4 Cu 3.39
La: 0.5000 0.5000 0.0000  4 Zr 3.30, 4 Cu 3.30, 4 La 3.39
La: 0.0000 0.0000 0.0000  4 Zr 3.30, 4 Cu 3.30, 4 La 3.39

E: -5.3927 eV/atom
Space-group type: I4/mmm, No. 139
DOS(E_F): 5.6 states/eV/cell
Calculated volume: 26.0 Å³/atom
Polymorph energy (0 for the lowest one): 0.244 eV/atom

=====

No. 6
A relaxed La2ZrCu crystal, computed with PBE.

a b c (Å): 4.4313 4.4313 11.1465
angles (deg): 78.53 78.53 90.00
Closest atoms and distances in Å follow each position.
Fractional positions:
Cu: 0.2500 0.7500 0.5000  4 La 3.07, 4 Zr 3.13
Zr: 0.7500 0.2500 0.5000  4 La 3.13, 4 Cu 3.13
Zr: 0.0000 0.0000 0.0000  4 La 3.13, 4 Cu 3.13
La: 0.8750 0.8545 0.7500  4 La 3.01-3.26, 2 Cu 3.07, 2 Zr 3.13
La: 0.1455 0.6250 0.2500  4 La 3.01-3.26, 2 Cu 3.07, 2 Zr 3.13
La: 0.6045 0.1250 0.2500  4 La 3.01-3.26, 2 Cu 3.07, 2 Zr 3.13
La: 0.3750 0.3955 0.7500  4 La 3.01-3.26, 2 Cu 3.07, 2 Zr 3.13
Cu: 0.5000 0.5000 0.0000  4 La 3.07, 4 Zr 3.13

E: -5.1342 eV/atom
Space-group type: I-42d, No. 122
DOS(E_F): 9.6 states/eV/cell
Calculated volume: 26.3 Å³/atom
Polymorph energy (0 for the lowest one): 0.502 eV/atom

=====

No. 7
A relaxed La2ZrCu crystal, computed with PBE.

a b c (Å): 5.1721 5.1721 5.1721
angles (deg): 60.00 60.00 60.00
Closest atoms and distances in Å follow each position.
Fractional positions:
La: 0.0000 0.0000 0.0000  4 La 3.17, 4 Zr 3.17
La: 0.2500 0.2500 0.2500  4 La 3.17, 4 Cu 3.17
Cu: 0.5000 0.5000 0.5000  4 Zr 3.17, 4 La 3.17
Zr: 0.7500 0.7500 0.7500  4 La 3.17, 4 Cu 3.17

E: -5.3535 eV/atom
Space-group type: F-43m, No. 216
DOS(E_F): 6.1 states/eV/cell
Calculated volume: 24.5 Å³/atom
Polymorph energy (0 for the lowest one): 0.283 eV/atom

=====

No. 8
A relaxed LiCu3 crystal, computed with PBE.

a b c (Å): 5.1500 5.1500 4.2222
angles (deg): 90.00 90.00 120.00
Closest atoms and distances in Å follow each position.
Fractional positions:
Li: 0.6667 0.3333 0.2500  12 Cu 2.57-2.59
Cu: 0.8340 0.1660 0.7500  8 Cu 2.56-2.59, 4 Li 2.57-2.59
Cu: 0.3320 0.1660 0.7500  8 Cu 2.56-2.59, 4 Li 2.57-2.59
Cu: 0.1660 0.3320 0.2500  8 Cu 2.56-2.59, 4 Li 2.57-2.59
Cu: 0.6680 0.8340 0.2500  8 Cu 2.56-2.59, 4 Li 2.57-2.59
Li: 0.3333 0.6667 0.7500  12 Cu 2.57-2.59
Cu: 0.1660 0.8340 0.2500  8 Cu 2.56-2.59, 4 Li 2.57-2.59
Cu: 0.8340 0.6680 0.7500  8 Cu 2.56-2.59, 4 Li 2.57-2.59

E: -3.5714 eV/atom
Space-group type: P6_3/mmc, No. 194
DOS(E_F): 3.6 states/eV/cell
Calculated volume: 12.1 Å³/atom

=====

No. 9
A relaxed Li2Cu3 crystal, computed with PBE.

a b c (Å): 2.5524 4.5502 5.9466
angles (deg): 74.29 77.61 73.71
Closest atoms and distances in Å follow each position.
Fractional positions:
Cu: 0.8974 0.8181 0.3871  5 Li 2.51-2.60, 7 Cu 2.55-2.79
Li: 0.6901 0.4002 0.2196  8 Cu 2.51-2.70, 4 Li 2.55-2.81
Cu: 0.1026 0.1819 0.6129  5 Li 2.51-2.60, 7 Cu 2.55-2.79
Li: 0.3099 0.5998 0.7804  8 Cu 2.51-2.70, 4 Li 2.55-2.81
Cu: 0.5000 0.0000 0.0000  6 Cu 2.55, 6 Li 2.64-2.70

E: -3.2715 eV/atom
Space-group type: C2/m, No. 12
DOS(E_F): 1.3 states/eV/cell
Calculated volume: 12.6 Å³/atom
Polymorph energy (0 for the lowest one): 0.000 eV/atom

=====

No. 10
A relaxed Li2Cu5 crystal, computed with PBE.

a b c (Å): 2.5180 6.5490 6.3891
angles (deg): 60.13 78.64 78.92
Closest atoms and distances in Å follow each position.
Fractional positions:
Cu: 0.3007 0.2844 0.1142  9 Cu 2.49-2.74, 1 Li 2.62
Li: 0.6355 0.1666 0.5623  2 Li 2.52, 7 Cu 2.62-2.73
Cu: 0.6993 0.7156 0.8858  9 Cu 2.49-2.74, 1 Li 2.62
Cu: 0.0762 0.5646 0.2831  7 Cu 2.43-2.53, 4 Li 2.63-2.67
Li: 0.3645 0.8334 0.4377  2 Li 2.52, 7 Cu 2.62-2.73
Cu: 0.9238 0.4354 0.7169  7 Cu 2.43-2.53, 4 Li 2.63-2.67
Cu: 0.0000 0.0000 0.0000  8 Cu 2.50-2.59, 4 Li 2.73

E: -3.4810 eV/atom
Space-group type: C2/m, No. 12
DOS(E_F): 2.4 states/eV/cell
Calculated volume: 12.7 Å³/atom

=====

No. 11
A relaxed LiCu3 crystal, computed with PBE.

a b c (Å): 4.4611 4.4611 2.5645
angles (deg): 90.00 90.00 108.68
Closest atoms and distances in Å follow each position.
Fractional positions:
Cu: 0.5000 0.0000 0.5000  8 Cu 2.56-2.60, 4 Li 2.57
Li: 0.0000 0.0000 0.0000  2 Li 2.56, 10 Cu 2.57-2.60
Cu: 0.5000 0.5000 0.0000  10 Cu 2.56-2.57, 2 Li 2.60
Cu: 0.0000 0.5000 0.5000  8 Cu 2.56-2.60, 4 Li 2.57

E: -3.5890 eV/atom
Space-group type: Cmmm, No. 65
DOS(E_F): 1.2 states/eV/cell
Calculated volume: 12.1 Å³/atom

=====

No. 12
A relaxed LiCu5 crystal, computed with PBE.

a b c (Å): 4.8385 4.8385 4.1162
angles (deg): 90.00 90.00 120.00
Closest atoms and distances in Å follow each position.
Fractional positions:
Cu: 0.5000 0.0000 0.5000  8 Cu 2.42-2.49
Cu: 0.6667 0.3333 0.0000  6 Cu 2.49
Cu: 0.0000 0.5000 0.5000  8 Cu 2.42-2.49
Cu: 0.5000 0.5000 0.5000  8 Cu 2.42-2.49
Cu: 0.3333 0.6667 0.0000  6 Cu 2.49
Li: 0.0000 0.0000 0.0000  6 Cu 2.79

E: -3.7127 eV/atom
Space-group type: P6/mmm, No. 191
DOS(E_F): 1.5 states/eV/cell
Calculated volume: 13.9 Å³/atom
Polymorph energy (0 for the lowest one): 0.049 eV/atom